[1]
A relaxed structure of Na2AgAsSe4. Source: Alexandria, functional PBE.

a = 9.5795 Å, b = 10.3322 Å, c = 6.7741 Å
α = 90.00°, β = 134.96°, γ = 90.00°
Space group C2 (No. 5)
Inequivalent atoms, fractional coordinates:
Na (0.0000, 0.0000, 0.0000)
Na (0.0000, 0.2500, 0.5000)
Ag (0.0000, 0.7506, 0.5000)
As (0.0000, 0.5004, 0.0000)
Se (0.1926, 0.6274, 0.9739)
Se (0.2192, 0.3736, 0.4125)

Summary:
DFT total energy (eV/atom): -3.47



[2]
A relaxed structure of CaOs2Pd2. Source: Alexandria, functional PBE.

a = 4.2199 Å, b = 4.2199 Å, c = 10.7586 Å
α = 90.00°, β = 90.00°, γ = 90.00°
Space group I4/mmm (No. 139)
Inequivalent atoms, fractional coordinates:
Ca (0.0000, 0.0000, 0.0000)
Os (0.0000, 0.0000, 0.3951)
Pd (0.0000, 0.5000, 0.2500)

Summary:
ΔE_f (eV per atom): 0.26
DFT total energy (eV/atom): -6.71



[3]
A relaxed structure of Ca3Nd3Ge4. Source: Alexandria, functional PBE.

a = 4.4381 Å, b = 10.9712 Å, c = 11.0400 Å
α = 90.00°, β = 90.00°, γ = 90.00°
Space group Amm2 (No. 38)
Inequivalent atoms, fractional coordinates:
Ca (0.0000, 0.0000, 0.0000)
Ca (0.5000, 0.2476, 0.0737)
Nd (0.0000, 0.0000, 0.6500)
Nd (0.0000, 0.1761, 0.3248)
Ge (0.5000, 0.0000, 0.2108)
Ge (0.5000, 0.0000, 0.4437)
Ge (0.5000, 0.1184, 0.8216)

Summary:
ΔE_f (eV per atom): -0.71
DFT total energy (eV/atom): -4.59



[4]
A relaxed structure of DyPaFeCu. Source: Alexandria, functional PBE.

a = 6.7580 Å, b = 6.7580 Å, c = 6.7580 Å
α = 90.00°, β = 90.00°, γ = 90.00°
Space group F-43m (No. 216)
Inequivalent atoms, fractional coordinates:
Dy (0.0000, 0.0000, 0.0000)
Pa (0.0000, 0.0000, 0.5000)
Fe (0.2500, 0.2500, 0.2500)
Cu (0.2500, 0.2500, 0.7500)

Summary:
ΔE_f (eV per atom): 0.06
DFT total energy (eV/atom): -6.61



[5]
A relaxed structure of K2NaBiSb2. Source: Alexandria, functional PBE.

a = 7.2754 Å, b = 16.7672 Å, c = 7.5400 Å
α = 90.00°, β = 90.00°, γ = 90.00°
Space group Ibam (No. 72)
Inequivalent atoms, fractional coordinates:
K (0.2429, 0.1739, 0.0000)
Na (0.0000, 0.0000, 0.2500)
Bi (0.0000, 0.5000, 0.2500)
Sb (0.2372, 0.3909, 0.0000)

Summary:
DFT total energy (eV/atom): -2.98



[6]
A relaxed structure of K2YRe. Source: Alexandria, functional PBE.

a = 4.3601 Å, b = 4.3601 Å, c = 6.3709 Å
α = 90.00°, β = 90.00°, γ = 90.00°
Space group P4/mmm (No. 123)
Inequivalent atoms, fractional coordinates:
K (0.0000, 0.5000, 0.0000)
Y (0.0000, 0.0000, 0.5000)
Re (0.5000, 0.5000, 0.5000)

Summary:
Energy above the most stable polymorph in this dataset (meV per atom): 465
ΔE_f (eV per atom): 1.25
DFT total energy (eV/atom): -4.03



[7]
A relaxed structure of Y8MnFe4. Source: Alexandria, functional PBE.

a = 10.0130 Å, b = 10.0130 Å, c = 6.0808 Å
α = 90.00°, β = 90.00°, γ = 90.00°
Space group I4/mmm (No. 139)
Inequivalent atoms, fractional coordinates:
Y (0.0000, 0.2177, 0.0000)
Y (0.0000, 0.3052, 0.5000)
Mn (0.0000, 0.0000, 0.5000)
Fe (0.2500, 0.2500, 0.2500)

Summary:
ΔE_f (eV per atom): 0.34
DFT total energy (eV/atom): -6.95



[8]
A relaxed structure of BaBe3Nb. Source: Alexandria, functional PBE.

a = 4.8136 Å, b = 4.8136 Å, c = 4.8136 Å
α = 90.00°, β = 90.00°, γ = 90.00°
Space group Pm-3m (No. 221)
Inequivalent atoms, fractional coordinates:
Ba (0.0000, 0.0000, 0.0000)
Be (0.0000, 0.5000, 0.5000)
Nb (0.5000, 0.5000, 0.5000)

Summary:
Energy above the most stable polymorph in this dataset (meV per atom): 0
ΔE_f (eV per atom): 0.92
DFT total energy (eV/atom): -3.72



[9]
A relaxed structure of TlVIr2. Source: Alexandria, functional PBE.

a = 6.3918 Å, b = 6.3918 Å, c = 6.3918 Å
α = 90.00°, β = 90.00°, γ = 90.00°
Space group Fm-3m (No. 225)
Inequivalent atoms, fractional coordinates:
Tl (0.0000, 0.0000, 0.0000)
V (0.0000, 0.0000, 0.5000)
Ir (0.2500, 0.2500, 0.2500)

Summary:
Energy above the most stable polymorph in this dataset (meV per atom): 0
ΔE_f (eV per atom): 0.29
DFT total energy (eV/atom): -7.01



[10]
A relaxed structure of Ce3RuRh2. Source: Alexandria, functional PBE.

a = 13.6620 Å, b = 5.5011 Å, c = 7.0860 Å
α = 90.00°, β = 102.74°, γ = 90.00°
Space group C2/c (No. 15)
Inequivalent atoms, fractional coordinates:
Ce (0.0000, 0.1190, 0.2500)
Ce (0.1698, 0.4043, 0.6346)
Ru (0.0000, 0.3903, 0.7500)
Rh (0.1642, 0.0903, 0.0158)

Summary:
ΔE_f (eV per atom): -0.57
DFT total energy (eV/atom): -7.53



[11]
A relaxed structure of YSi. Source: Alexandria, functional PBE.

a = 6.8631 Å, b = 9.2620 Å, c = 11.7603 Å
α = 90.00°, β = 90.00°, γ = 90.00°
Space group Fddd (No. 70, origin choice 2)
Inequivalent atoms, fractional coordinates:
Y (0.1250, 0.3353, 0.1250)
Si (0.0507, 0.3750, 0.8750)

Summary:
DFT total energy (eV/atom): -6.56



[12]
A relaxed structure of YMo2Se. Source: Alexandria, functional PBE.

a = 3.3246 Å, b = 3.3246 Å, c = 6.9598 Å
α = 90.00°, β = 90.00°, γ = 90.00°
Space group P4mm (No. 99)
Inequivalent atoms, fractional coordinates:
Y (0.0000, 0.0000, 0.0000)
Mo (0.0000, 0.0000, 0.4853)
Mo (0.5000, 0.5000, 0.2971)
Se (0.5000, 0.5000, 0.7104)

Summary:
DFT total energy (eV/atom): -8.02



[13]
A relaxed structure of CsNb2GeOs. Source: Alexandria, functional PBE.

a = 4.9874 Å, b = 4.9874 Å, c = 5.6311 Å
α = 90.00°, β = 90.00°, γ = 90.00°
Space group P4/mmm (No. 123)
Inequivalent atoms, fractional coordinates:
Cs (0.0000, 0.0000, 0.0000)
Nb (0.0000, 0.5000, 0.5000)
Ge (0.5000, 0.5000, 0.0000)
Os (0.0000, 0.0000, 0.5000)

Summary:
ΔE_f (eV per atom): 1.60
DFT total energy (eV/atom): -5.76



[14]
A relaxed structure of Zr3CdH. Source: Alexandria, functional PBE.

a = 5.6658 Å, b = 8.7485 Å, c = 7.9128 Å
α = 90.00°, β = 90.00°, γ = 90.00°
Space group Pnma (No. 62)
Inequivalent atoms, fractional coordinates:
Zr (0.0008, 0.0945, 0.1394)
Zr (0.2485, 0.7500, 0.2476)
Cd (0.0000, 0.0000, 0.5000)
H (0.0041, 0.2500, 0.9469)

Summary:
Energy above the most stable polymorph in this dataset (meV per atom): 340
DFT total energy (eV/atom): -5.88



[15]
A relaxed structure of ZnSb. Source: Alexandria, functional PBE.

a = 4.6125 Å, b = 5.3804 Å, c = 4.6145 Å
α = 90.00°, β = 116.93°, γ = 90.00°
Space group P2_1/m (No. 11)
Inequivalent atoms, fractional coordinates:
Zn (0.0928, 0.2500, 0.4098)
Sb (0.2483, 0.7500, 0.2490)

Summary:
DFT total energy (eV/atom): -2.65



[16]
A relaxed structure of HoErAlRu. Source: Alexandria, functional PBE.

a = 6.9579 Å, b = 6.9579 Å, c = 6.9579 Å
α = 90.00°, β = 90.00°, γ = 90.00°
Space group F-43m (No. 216)
Inequivalent atoms, fractional coordinates:
Ho (0.0000, 0.0000, 0.0000)
Er (0.0000, 0.0000, 0.5000)
Al (0.2500, 0.2500, 0.7500)
Ru (0.2500, 0.2500, 0.2500)

Summary:
ΔE_f (eV per atom): -0.38
DFT total energy (eV/atom): -5.92



[17]
A relaxed structure of TlPIr4. Source: Alexandria, functional PBE.

a = 7.4552 Å, b = 7.4552 Å, c = 7.4552 Å
α = 90.00°, β = 90.00°, γ = 90.00°
Space group F-43m (No. 216)
Inequivalent atoms, fractional coordinates:
Tl (0.0000, 0.0000, 0.0000)
P (0.2500, 0.2500, 0.7500)
Ir (0.1247, 0.1247, 0.3753)

Summary:
ΔE_f (eV per atom): 0.77
DFT total energy (eV/atom): -6.44



[18]
A relaxed structure of Pm5ZnPb4. Source: Alexandria, functional PBE.

a = 3.6329 Å, b = 3.6329 Å, c = 21.7833 Å
α = 90.00°, β = 90.00°, γ = 90.00°
Space group P4/mmm (No. 123)
Inequivalent atoms, fractional coordinates:
Pm (0.0000, 0.0000, 0.0000)
Pm (0.0000, 0.0000, 0.2086)
Pm (0.0000, 0.0000, 0.4146)
Zn (0.5000, 0.5000, 0.5000)
Pb (0.5000, 0.5000, 0.1039)
Pb (0.5000, 0.5000, 0.3111)

Summary:
ΔE_f (eV per atom): -0.45
DFT total energy (eV/atom): -4.44



[19]
A relaxed structure of CaCr2Mo. Source: Alexandria, functional PBE.

a = 3.1576 Å, b = 4.4688 Å, c = 9.0498 Å
α = 90.00°, β = 90.00°, γ = 90.00°
Space group Cmm2 (No. 35)
Inequivalent atoms, fractional coordinates:
Ca (0.0000, 0.0000, 0.0000)
Cr (0.0000, 0.0000, 0.5255)
Cr (0.0000, 0.5000, 0.7134)
Mo (0.0000, 0.5000, 0.3011)

Summary:
Energy above the most stable polymorph in this dataset (meV per atom): 156
ΔE_f (eV per atom): 0.66
DFT total energy (eV/atom): -7.36



[20]
A relaxed structure of Lu2ZnCu. Source: Alexandria, functional PBE.

a = 6.8884 Å, b = 6.8884 Å, c = 6.8884 Å
α = 90.00°, β = 90.00°, γ = 90.00°
Space group Fm-3m (No. 225)
Inequivalent atoms, fractional coordinates:
Lu (0.2500, 0.2500, 0.2500)
Zn (0.0000, 0.0000, 0.0000)
Cu (0.0000, 0.0000, 0.5000)

Summary:
Energy above the most stable polymorph in this dataset (meV per atom): 9
ΔE_f (eV per atom): -0.32
DFT total energy (eV/atom): -3.92